[1]
Material: MnAsPb2
Method: DFT, GGA-PBE
State: optimized geometry

Output
Distance to the lowest polymorph of the same formula = 0.269 eV/atom
Symmetry = No. 119
E_tot = -4.959 eV/atom
DFT formation energy = 0.350 eV/atom

POSCAR file:
```
MnAsPb2
1.0
5.987 -0.001 0.000
2.800 5.291 0.000
-4.393 -2.645 3.089
Pb Mn As
2 1 1
direct
0.000 0.000 0.000 Pb
0.250 0.750 0.500 Pb
0.750 0.250 0.500 Mn
0.500 0.500 0.000 As
```


[2]
Material: MnAsPb4
Method: DFT, GGA-PBE
State: optimized geometry

Output
Symmetry = No. 216
E_tot = -4.117 eV/atom
DFT formation energy = 0.659 eV/atom

POSCAR file:
```
MnAsPb4
1.0
-5.270 2.292 2.699
-5.306 0.632 -3.429
-4.945 -3.835 1.068
Pb As Mn
4 1 1
direct
0.375 0.375 0.876 Pb
0.876 0.375 0.375 Pb
0.375 0.876 0.375 Pb
0.375 0.375 0.375 Pb
0.750 0.750 0.750 As
0.000 0.000 0.000 Mn
```


[3]
Material: MnAs2Pb
Method: DFT, GGA-PBE
State: optimized geometry

Output
Distance to the lowest polymorph of the same formula = 0.747 eV/atom
Symmetry = No. 225
E_tot = -4.843 eV/atom
DFT formation energy = 0.701 eV/atom

POSCAR file:
```
MnAs2Pb
1.0
1.442 1.217 4.361
-2.636 2.945 2.639
-2.309 -1.648 3.812
As Mn Pb
2 1 1
direct
0.250 0.250 0.250 As
0.750 0.750 0.750 As
0.000 0.000 0.000 Mn
0.500 0.500 0.500 Pb
```


[4]
Material: Mn2AsPb
Method: DFT, GGA-PBE
State: optimized geometry

Output
Distance to the lowest polymorph of the same formula = 0.095 eV/atom
Symmetry = No. 8
E_tot = -6.428 eV/atom
DFT formation energy = 0.246 eV/atom

POSCAR file:
```
Mn2AsPb
1.0
4.607 0.012 -0.003
3.426 3.080 -0.003
1.284 0.494 5.640
Mn As Pb
2 1 1
direct
0.990 0.990 0.038 Mn
0.740 0.740 0.801 Mn
0.265 0.265 0.107 As
0.505 0.505 0.554 Pb
```


[5]
Material: Mn2AsPb
Method: DFT, GGA-PBE
State: optimized geometry

Output
Distance to the lowest polymorph of the same formula = 0.163 eV/atom
Symmetry = No. 71
E_tot = -6.360 eV/atom
DFT formation energy = 0.314 eV/atom

POSCAR file:
```
Mn2AsPb
1.0
-1.306 -4.737 -1.124
3.970 -2.544 1.783
-3.506 3.052 1.952
As Mn Pb
1 2 1
direct
0.250 0.750 0.500 As
0.472 0.472 0.000 Mn
0.028 0.028 0.000 Mn
0.750 0.250 0.500 Pb
```


[6]
Material: MnAs2Pb
Method: DFT, GGA-PBE
State: optimized geometry

Output
Distance to the lowest polymorph of the same formula = 0.416 eV/atom
Symmetry = No. 123
E_tot = -5.174 eV/atom
DFT formation energy = 0.370 eV/atom

POSCAR file:
```
MnAs2Pb
1.0
4.839 0.000 0.000
0.000 4.839 0.000
0.000 0.000 3.692
Mn As Pb
1 2 1
direct
0.500 0.000 0.500 Mn
0.000 0.000 0.000 As
0.500 0.500 0.000 As
0.000 0.500 0.500 Pb
```


[7]
Material: Mn2AsPb
Method: DFT, GGA-PBE
State: optimized geometry

Output
Distance to the lowest polymorph of the same formula = 0.212 eV/atom
Symmetry = No. 160
E_tot = -6.312 eV/atom
DFT formation energy = 0.363 eV/atom

POSCAR file:
```
Mn2AsPb
1.0
-0.602 5.913 6.760
-2.188 3.408 8.039
1.034 3.538 8.212
Mn As Pb
2 1 1
direct
0.265 0.265 0.265 Mn
0.005 0.005 0.005 Mn
0.727 0.727 0.727 As
0.503 0.503 0.503 Pb
```


[8]
Material: MnAsPb2
Method: DFT, GGA-PBE
State: optimized geometry

Output
Distance to the lowest polymorph of the same formula = 0.032 eV/atom
Symmetry = No. 160
E_tot = -5.196 eV/atom
DFT formation energy = 0.113 eV/atom

POSCAR file:
```
MnAsPb2
1.0
9.791 -0.070 -0.041
9.218 3.302 -0.041
9.218 1.567 2.907
Pb As Mn
2 1 1
direct
0.243 0.243 0.243 Pb
0.017 0.017 0.017 Pb
0.477 0.477 0.477 As
0.763 0.763 0.763 Mn
```